Entry 1:
Compound: Tb2BiRu
Source: Alexandria via LeMat-Bulk
Functional: PBE-GGA
Structure: relaxed

The structure in POSCAR format:
```
Tb2BiRu
1.0
-3.320 4.305 4.210
-7.287 -3.965 -1.700
6.406 -4.443 3.983
Tb Bi Ru
8 4 4
Cartesian
-7.232 -2.037 2.100
-1.164 -1.912 0.925
3.031 -2.065 4.393
-3.037 -2.190 5.568
-1.310 -4.426 3.374
-5.503 -4.280 -0.086
-2.891 0.324 3.119
1.302 0.178 6.579
-3.983 -2.808 2.535
1.868 -5.100 3.881
-0.218 -1.294 3.959
-6.069 0.998 2.613
-1.712 -7.326 3.329
-2.489 3.224 3.164
-2.248 -5.252 0.786
-1.953 1.150 5.707
```

## Properties
Size of the total moment   0.00 μB per atom
Raw total energy   -6.0288 eV/atom
SG   Imma, No. 74
Polymorph energy (0 for the lowest one)   41 kJ/mol of formula units


Entry 2:
Compound: Tb6Bi3Ru
Source: Alexandria via LeMat-Bulk
Functional: PBE-GGA
Structure: relaxed

The structure in POSCAR format:
```
Tb6Bi3Ru
1.0
-5.590 -2.597 -1.945
1.412 -6.763 4.972
-5.060 5.115 8.394
Tb Bi Ru
12 6 2
Cartesian
-8.066 2.083 7.378
-5.992 -0.106 4.497
-4.269 -3.391 3.350
-4.970 -0.854 8.071
-3.247 -4.139 6.924
-1.173 -6.327 4.043
-2.472 -0.464 5.101
-0.530 -2.018 1.752
-4.606 3.349 6.399
-4.633 -7.594 5.022
-8.709 -2.227 9.669
-6.767 -3.780 6.320
-5.754 -3.715 9.438
-2.089 -4.680 1.514
-3.485 -0.529 1.983
-0.802 -3.183 4.897
-2.530 2.557 4.197
-8.437 -1.061 6.524
-4.620 -2.122 5.710
0.000 0.000 0.000
```

## Properties
Size of the total moment   0.00 μB per atom
Raw total energy   -5.4091 eV/atom
SG   P2_1/c, No. 14


Entry 3:
Compound: Tb12Bi6Ru
Source: Alexandria via LeMat-Bulk
Functional: PBE-GGA
Structure: relaxed

The structure in POSCAR format:
```
Tb12Bi6Ru
1.0
-3.726 4.792 6.235
-6.871 -1.234 -5.195
0.199 -7.718 4.015
Tb Bi Ru
12 6 1
Cartesian
-6.917 -0.427 3.777
-7.084 -3.317 1.057
-5.173 -3.925 4.487
-3.482 -3.733 1.278
-3.315 -0.842 3.998
-5.226 -0.234 0.568
-7.005 -3.341 -3.566
-4.567 -8.100 0.216
-9.038 2.119 -0.574
-3.394 -0.818 8.621
-5.832 3.940 4.839
-1.361 -6.278 5.629
-8.537 -0.517 1.076
-4.581 1.817 2.877
-4.844 -2.689 -1.370
-1.862 -3.643 3.979
-5.818 -5.977 2.177
-5.556 -1.471 6.425
0.000 0.000 0.000
```

## Properties
Size of the total moment   0.00 μB per atom
Raw total energy   -5.1113 eV/atom
SG   R-3, No. 148


Entry 4:
Compound: Tb7Bi2Ru2
Source: Alexandria via LeMat-Bulk
Functional: PBE-GGA
Structure: relaxed

The structure in POSCAR format:
```
Tb7Bi2Ru2
1.0
3.970 0.000 0.000
1.985 9.462 0.160
1.985 4.627 8.255
Tb Bi Ru
7 2 2
Cartesian
3.970 2.100 2.332
5.955 8.123 7.434
3.970 4.730 8.083
3.970 5.683 2.246
3.970 9.417 4.477
3.970 11.041 7.672
1.985 3.693 4.788
1.985 8.307 2.095
3.970 6.333 5.400
5.955 11.102 5.662
1.985 3.840 1.325
```

## Properties
Size of the total moment   0.00 μB per atom
Raw total energy   -5.8065 eV/atom
SG   Imm2, No. 44


Entry 5:
Compound: Tb5Bi2Ru
Source: Alexandria via LeMat-Bulk
Functional: PBE-GGA
Structure: relaxed

The structure in POSCAR format:
```
Tb5Bi2Ru
1.0
0.318 7.200 1.649
-7.118 0.021 -1.941
2.284 -4.483 4.186
Tb Bi Ru
5 2 1
Cartesian
0.804 0.975 4.936
-1.779 1.792 0.115
-2.539 0.912 3.431
-3.015 -2.714 3.098
-4.172 3.369 1.944
-4.372 -0.611 0.847
-0.169 3.452 2.878
-0.038 -0.315 0.710
```

## Properties
Size of the total moment   0.00 μB per atom
Raw total energy   -5.3609 eV/atom
SG   P1, No. 1


Entry 6:
Compound: TbBiRu
Source: Alexandria via LeMat-Bulk
Functional: PBE-GGA
Structure: relaxed

The structure in POSCAR format:
```
TbBiRu
1.0
-2.543 3.912 0.242
-3.211 0.905 -3.271
-8.297 -2.851 4.021
Ru Bi Tb
2 2 2
Cartesian
-2.561 1.156 -0.503
-11.490 0.809 1.495
-4.445 -0.160 0.983
-9.606 2.125 0.009
-9.024 -0.414 2.072
-5.027 2.379 -1.080
```

## Properties
Size of the total moment   0.00 μB per atom
Raw total energy   -5.6579 eV/atom
SG   R-3m, No. 166


Which formula does entry 4 have? Tb7Bi2Ru2


Look up the size of the total moment of the second one. 0.00 μB per atom


raw total energy of number 4 (Tb7Bi2Ru2)? -5.8065 eV/atom